# 1
La3PmZn2 | PBE | optimized geometry

Computed properties:
**Magnetic moment**: 0.000 μB per atom
**E_tot**: -3.882 eV per atom
**SG**: P4/mmm

Unit cell a=3.765 b=3.765 c=12.621 alpha=90.00 beta=90.00 gamma=90.00
Positions (direct):
Zn 0.500 0.500 0.150
La 0.000 0.000 0.707
Pm 0.500 0.500 0.500
Zn 0.500 0.500 0.850
La 0.000 0.000 0.000
La 0.000 0.000 0.293

# 2
La7PmZn4 | PBE | optimized geometry

Computed properties:
**Magnetic moment**: 0.034 μB per atom
**E_tot**: -3.749 eV per atom
**SG**: C2/m

Unit cell a=5.765 b=9.366 c=7.611 alpha=77.86 beta=67.74 gamma=72.08
Site moments in Bohr magnetons follow the coordinates.
Positions (direct):
La 0.205 0.121 0.469  0.00
Zn 0.677 0.665 0.981  0.00
La 0.066 0.617 0.252  0.00
Zn 0.548 0.242 0.663  0.00
La 0.934 0.383 0.748  0.00
Zn 0.323 0.335 0.019  0.00
La 0.705 0.354 0.236  0.00
Pm 0.000 0.000 0.000  0.17
La 0.795 0.879 0.531  0.00
Zn 0.452 0.758 0.337  0.00
La 0.295 0.646 0.764  0.00
La 0.500 0.000 0.000  0.15

# 3
La6PmZn | PBE | optimized geometry

Computed properties:
**Magnetic moment**: 0.000 μB per atom
**E_tot**: -4.463 eV per atom
**SG**: Amm2

Unit cell a=5.462 b=7.107 c=7.107 alpha=102.95 beta=90.00 gamma=90.00
Positions (direct):
La 0.500 0.852 0.148
La 0.000 0.588 0.858
La 0.000 0.142 0.412
La 0.500 0.333 0.064
Zn 0.000 0.082 0.918
La 0.000 0.637 0.363
Pm 0.500 0.431 0.569
La 0.500 0.936 0.667

# 4
La3Pm2Zn2 | PBE | optimized geometry

Computed properties:
**Magnetic moment**: 0.003 μB per atom
**E_tot**: -3.949 eV per atom
**SG**: Cmmm

Unit cell a=3.758 b=3.692 c=15.555 alpha=90.00 beta=96.94 gamma=90.00
Positions (direct):
La 0.587 0.500 0.174
Zn 0.148 0.000 0.295
Pm 0.298 0.500 0.597
La 0.413 0.500 0.826
Zn 0.852 0.000 0.705
Pm 0.702 0.500 0.403
La 0.000 0.000 0.000

# 5
LaPm6Zn | PBE | optimized geometry

Computed properties:
**Magnetic moment**: 0.081 μB per atom
**E_tot**: -4.144 eV per atom
**SG**: C2/m

Unit cell a=7.066 b=7.066 c=7.030 alpha=104.14 beta=104.14 gamma=120.98
Site moments in Bohr magnetons follow the coordinates.
Positions (direct):
Zn 0.500 0.500 0.500  0.01
Pm 0.266 0.266 0.732  0.11
Pm 0.499 0.066 0.258  0.01
Pm 0.734 0.734 0.268  0.11
Pm 0.934 0.501 0.742  0.01
Pm 0.066 0.499 0.258  0.01
La 0.000 0.000 0.000  0.12
Pm 0.501 0.934 0.742  0.01

# 6
LaPmZr2 | PBE | optimized geometry

Computed properties:
**Magnetic moment**: 0.000 μB per atom
**E_tot**: -6.496 eV per atom
**SG**: P4/mmm

Unit cell a=4.983 b=4.749 c=4.749 alpha=90.00 beta=90.00 gamma=90.00
Positions (direct):
Zr 0.000 0.500 0.000
La 0.500 0.500 0.500
Pm 0.500 0.000 0.000
Zr 0.000 0.000 0.500

# 7
LaPmZr | PBE | optimized geometry

Computed properties:
**Magnetic moment**: 0.000 μB per atom
**E_tot**: -5.933 eV per atom
**SG**: P3m1

Unit cell a=3.490 b=3.490 c=8.654 alpha=90.00 beta=90.00 gamma=120.00
Positions (direct):
Zr 0.667 0.333 0.335
Pm 0.333 0.667 0.645
La 0.000 0.000 0.020

# 8
LaPmZr | PBE | optimized geometry

Computed properties:
**Magnetic moment**: 0.000 μB per atom
**E_tot**: -5.954 eV per atom
**SG**: I4mm

Unit cell a=3.439 b=3.439 c=8.124 alpha=102.22 beta=102.22 gamma=90.00
Positions (direct):
Pm 0.320 0.320 0.639
Zr 0.669 0.669 0.338
La 0.011 0.011 0.022

# 9
LaPm2Zr | PBE | optimized geometry

Computed properties:
**Magnetic moment**: 0.337 μB per atom
**E_tot**: -5.486 eV per atom
**SG**: Fm-3m

Unit cell a=5.619 b=5.619 c=5.619 alpha=60.00 beta=60.00 gamma=60.00
Site moments in Bohr magnetons follow the coordinates.
Positions (direct):
Pm 0.750 0.750 0.750  0.11
Zr 0.000 0.000 0.000  0.56
La 0.500 0.500 0.500  0.02
Pm 0.250 0.250 0.250  0.11

# 10
La2PmZr | PBE | optimized geometry

Computed properties:
**Magnetic moment**: 0.000 μB per atom
**E_tot**: -5.650 eV per atom
**SG**: R3m

Unit cell a=3.546 b=3.546 c=11.869 alpha=81.41 beta=81.41 gamma=60.00
Positions (direct):
Zr 0.500 0.500 0.501
Pm 0.668 0.668 0.995
La 0.244 0.244 0.268
La 0.088 0.088 0.735